[1]
A geometry-optimized RbHfSb2 structure, computed with PBE.

abc: 3.587 3.587 9.156
angles: 90.00 90.00 90.00
Element x y z (fractional)
Rb1 0.000 0.000 0.000
Hf1 0.000 0.000 0.500
Sb1 0.500 0.500 0.309
Sb2 0.500 0.500 0.691

Summary:
- Space group: P4/mmm (123)

[2]
A geometry-optimized BaH4Cl structure, computed with PBE.

abc: 4.270 15.093 4.561
angles: 90.00 90.33 90.00
Element x y z (fractional)
Ba1 0.000 0.000 0.000
Ba2 0.500 0.500 0.000
H1 0.091 0.338 0.999
H2 0.091 0.662 0.999
H3 0.409 0.162 0.001
H4 0.409 0.838 0.001
H5 0.591 0.162 0.999
H6 0.591 0.838 0.999
H7 0.909 0.338 0.001
H8 0.909 0.662 0.001
Cl1 0.000 0.500 0.500
Cl2 0.500 0.000 0.500

Summary:
- Space group: C2/m (12)

[3]
A geometry-optimized Be2Cd5Pd12 structure, computed with PBE.

abc: 8.185 8.185 7.098
angles: 101.13 101.13 41.70
Element x y z (fractional)
Be1 0.187 0.813 0.000
Be2 0.813 0.187 0.000
Cd1 0.205 0.205 0.204
Cd2 0.265 0.265 0.796
Cd3 0.500 0.500 0.500
Cd4 0.735 0.735 0.204
Cd5 0.795 0.795 0.796
Pd1 0.020 0.020 0.295
Pd2 0.097 0.585 0.494
Pd3 0.139 0.611 0.121
Pd4 0.389 0.861 0.879
Pd5 0.415 0.903 0.506
Pd6 0.444 0.444 0.825
Pd7 0.556 0.556 0.175
Pd8 0.585 0.097 0.494
Pd9 0.611 0.139 0.121
Pd10 0.861 0.389 0.879
Pd11 0.903 0.415 0.506
Pd12 0.980 0.980 0.705

Summary:
- Space group: C2/m (12)
- Energy of formation from the pure elements: -4.90 eV/f.u.

[4]
A geometry-optimized TaBe4Co structure, computed with PBE.

abc: 4.390 4.390 4.390
angles: 60.00 60.00 60.00
Element x y z (fractional)
Ta1 0.000 0.000 0.000
Be1 0.121 0.626 0.626
Be2 0.626 0.121 0.626
Be3 0.626 0.626 0.121
Be4 0.626 0.626 0.626
Co1 0.250 0.250 0.250

Summary:
- Space group: F-43m (216)
- Energy of formation from the pure elements: -1.05 eV/f.u.

[5]
A geometry-optimized DyPuGa2Pd2 structure, computed with PBE.

abc: 4.513 4.513 6.865
angles: 90.00 90.00 120.00
Element x y z (fractional)
Dy1 0.000 0.000 0.000
Pu1 0.000 0.000 0.500
Ga1 0.333 0.667 0.243
Ga2 0.667 0.333 0.757
Pd1 0.333 0.667 0.761
Pd2 0.667 0.333 0.239

Summary:
- Space group: P-3m1 (164)
- Energy of formation from the pure elements: -4.18 eV/f.u.

[6]
A geometry-optimized Dy2Al2Zn15 structure, computed with PBE.

abc: 6.797 6.797 6.797
angles: 83.17 83.17 83.17
Element x y z (fractional)
Dy1 0.164 0.164 0.164
Dy2 0.836 0.836 0.836
Al1 0.400 0.400 0.400
Al2 0.600 0.600 0.600
Zn1 0.000 0.500 0.500
Zn2 0.148 0.148 0.664
Zn3 0.148 0.664 0.148
Zn4 0.198 0.500 0.802
Zn5 0.198 0.802 0.500
Zn6 0.336 0.852 0.852
Zn7 0.500 0.000 0.500
Zn8 0.500 0.198 0.802
Zn9 0.500 0.500 0.000
Zn10 0.500 0.802 0.198
Zn11 0.664 0.148 0.148
Zn12 0.802 0.198 0.500
Zn13 0.802 0.500 0.198
Zn14 0.852 0.336 0.852
Zn15 0.852 0.852 0.336

Summary:
- Space group: R-3m (166)
- Energy of formation from the pure elements: -4.25 eV/f.u.

[7]
A geometry-optimized AsBrF3 structure, computed with PBE.

abc: 5.170 6.081 7.280
angles: 89.91 88.54 80.35
Element x y z (fractional)
As1 0.000 0.000 0.000
As2 0.222 0.071 0.525
Br1 0.398 0.697 0.505
Br2 0.750 0.356 0.978
F1 0.213 0.107 0.155
F2 0.238 0.760 0.982
F3 0.250 0.108 0.783
F4 0.516 0.180 0.488
F5 0.819 0.892 0.172
F6 0.840 0.902 0.811

Summary:
- Space group: P1 (1)

[8]
A geometry-optimized Pr8GaBi2 structure, computed with PBE.

abc: 10.475 10.475 6.952
angles: 103.40 103.40 29.48
Element x y z (fractional)
Pr1 0.015 0.015 0.277
Pr2 0.220 0.220 0.830
Pr3 0.347 0.347 0.476
Pr4 0.411 0.411 0.021
Pr5 0.589 0.589 0.979
Pr6 0.653 0.653 0.524
Pr7 0.780 0.780 0.170
Pr8 0.985 0.985 0.723
Ga1 0.500 0.500 0.500
Bi1 0.178 0.178 0.268
Bi2 0.822 0.822 0.732

Summary:
- Space group: C2/m (12)
- Energy of formation from the pure elements: -4.09 eV/f.u.

[9]
A geometry-optimized Ce2AlGaPd6 structure, computed with PBE.

abc: 5.680 5.681 8.267
angles: 69.94 89.94 60.03
Element x y z (fractional)
Ce1 0.214 0.072 0.144
Ce2 0.786 0.928 0.856
Al1 0.500 0.500 0.000
Ga1 0.000 0.500 0.500
Pd1 0.247 0.504 0.248
Pd2 0.251 0.496 0.752
Pd3 0.251 0.999 0.751
Pd4 0.749 0.001 0.249
Pd5 0.749 0.504 0.248
Pd6 0.753 0.496 0.752

Summary:
- Space group: P-1 (2)
- Energy of formation from the pure elements: -6.06 eV/f.u.

[10]
A geometry-optimized LiAc2C2N6 structure, computed with PBE.

abc: 4.548 5.248 6.791
angles: 111.97 90.88 92.80
Element x y z (fractional)
Li1 0.000 0.000 0.000
Ac1 0.267 0.680 0.279
Ac2 0.733 0.320 0.721
C1 0.313 0.780 0.762
C2 0.687 0.220 0.238
N1 0.133 0.931 0.693
N2 0.248 0.632 0.880
N3 0.431 0.177 0.330
N4 0.569 0.823 0.670
N5 0.752 0.368 0.120
N6 0.867 0.069 0.307

Summary:
- Space group: P-1 (2)

[11]
A geometry-optimized NbGeAs2 structure, computed with PBE.

abc: 3.458 7.735 5.623
angles: 90.00 90.00 90.00
Element x y z (fractional)
Nb1 0.000 0.000 0.000
Nb2 0.500 0.500 0.500
Ge1 0.000 0.500 0.866
Ge2 0.500 0.000 0.366
As1 0.000 0.307 0.235
As2 0.000 0.693 0.235
As3 0.500 0.193 0.735
As4 0.500 0.807 0.735

Summary:
- Space group: Imm2 (44)
- Energy of formation from the pure elements: -0.81 eV/f.u.

[12]
A geometry-optimized LiY2Cd structure, computed with PBE.

abc: 7.459 7.459 7.459
angles: 90.00 90.00 90.00
Element x y z (fractional)
Li1 0.000 0.000 0.000
Li2 0.000 0.500 0.500
Li3 0.500 0.000 0.500
Li4 0.500 0.500 0.000
Y1 0.250 0.250 0.250
Y2 0.250 0.250 0.750
Y3 0.250 0.750 0.250
Y4 0.250 0.750 0.750
Y5 0.750 0.250 0.250
Y6 0.750 0.250 0.750
Y7 0.750 0.750 0.250
Y8 0.750 0.750 0.750
Cd1 0.000 0.000 0.500
Cd2 0.000 0.500 0.000
Cd3 0.500 0.000 0.000
Cd4 0.500 0.500 0.500

Summary:
- Space group: Fm-3m (225)
- Energy of formation from the pure elements: -0.59 eV/f.u.

Going through the records in order, we get energy values of -5.096; -3.371; -4.171; -5.820; -6.592; -2.108; -4.000; -4.829; -5.585; -7.540; -6.199; -4.087 eV/atom.